(1)
ZrAgAu2: optimized geometry, PBEsol.

Output
**Magnetization**: 0.00 μB/atom
**Energy above the most stable polymorph in this dataset**: 55 meV per atom
**DFT total energy**: -5.43 eV/atom
**Formation energy from the elements**: -367.4 meV per atom

a = 3.0524 Å, b = 3.6837 Å, c = 6.3587 Å
α = 90.00°, β = 90.00°, γ = 90.00°
Fractional positions:
Zr 0.5000 0.5000 0.0000
Au 0.0000 0.0000 0.2586
Au 0.0000 0.0000 0.7414
Ag 0.5000 0.5000 0.5000


(2)
Ni5Rh: optimized geometry, PBEsol.

Output
**Magnetization**: 0.66 μB/atom
**DFT total energy**: -6.43 eV/atom
**Formation energy from the elements**: 57.4 meV per atom

a = 2.5197 Å, b = 2.5197 Å, c = 12.0936 Å
α = 90.00°, β = 90.00°, γ = 120.00°
Fractional positions:
Ni 0.3333 0.6667 0.1750
Ni 0.0000 0.0000 0.5000
Ni 0.3333 0.6667 0.6622
Ni 0.6667 0.3333 0.3378
Ni 0.6667 0.3333 0.8250
Rh 0.0000 0.0000 0.0000


(3)
Hf2Ti2In: optimized geometry, PBEsol.

Output
**Magnetization**: 0.00 μB/atom
**DFT total energy**: -8.17 eV/atom
**Formation energy from the elements**: -43.7 meV per atom

a = 3.7830 Å, b = 7.1694 Å, c = 7.1694 Å
α = 90.00°, β = 90.00°, γ = 90.00°
Fractional positions:
In 0.0000 0.5000 0.5000
In 0.0000 0.0000 0.0000
Ti 0.0000 0.3689 0.8689
Ti 0.0000 0.6311 0.1311
Ti 0.0000 0.1311 0.3689
Ti 0.0000 0.8689 0.6311
Hf 0.5000 0.6643 0.8357
Hf 0.5000 0.3357 0.1643
Hf 0.5000 0.1643 0.6643
Hf 0.5000 0.8357 0.3357


(4)
CrPt3N: optimized geometry, PBEsol.

Output
**Magnetization**: 0.87 μB/atom
**Raw formation energy**: 524 meV per atom
**DFT total energy**: -7.41 eV/atom

a = 4.1241 Å, b = 4.1241 Å, c = 4.1241 Å
α = 90.00°, β = 90.00°, γ = 90.00°
Fractional positions:
N 0.0000 0.0000 0.0000
Pt 0.0000 0.5000 0.0000
Pt 0.5000 0.0000 0.0000
Pt 0.0000 0.0000 0.5000
Cr 0.5000 0.5000 0.5000


(5)
FeCuP2Cl: optimized geometry, PBEsol.

Output
**Magnetization**: 0.00 μB/atom
**Raw formation energy**: 509 meV per atom
**DFT total energy**: -4.87 eV/atom

a = 4.1623 Å, b = 4.1623 Å, c = 4.8735 Å
α = 90.00°, β = 90.00°, γ = 90.00°
Fractional positions:
Cu 0.5000 0.5000 0.5000
P 0.0000 0.5000 0.0000
P 0.5000 0.0000 0.0000
Cl 0.0000 0.0000 0.5000
Fe 0.0000 0.0000 0.0000


(6)
Zr2TlNi: optimized geometry, PBEsol.

Output
**Magnetization**: 0.00 μB/atom
**Energy above the most stable polymorph in this dataset**: 141 meV per atom
**DFT total energy**: -6.84 eV/atom
**Formation energy from the elements**: -93.3 meV per atom

a = 3.4614 Å, b = 3.4614 Å, c = 8.2495 Å
α = 77.89°, β = 77.89°, γ = 60.00°
Fractional positions:
Ni 0.5000 0.5000 0.5000
Zr 0.2314 0.2314 0.3058
Zr 0.7686 0.7686 0.6942
Tl 0.0000 0.0000 0.0000


(7)
LaMgBi3: optimized geometry, PBEsol.

Output
**Magnetization**: 0.00 μB/atom
**DFT total energy**: -4.03 eV/atom
**Formation energy from the elements**: -41.2 meV per atom

a = 5.4312 Å, b = 5.4312 Å, c = 5.4312 Å
α = 90.00°, β = 90.00°, γ = 90.00°
Fractional positions:
La 0.5000 0.5000 0.5000
Bi 0.0000 0.5000 0.0000
Bi 0.5000 0.0000 0.0000
Bi 0.0000 0.0000 0.5000
Mg 0.0000 0.0000 0.0000


(8)
BaNiSb2: optimized geometry, PBEsol.

Output
**Magnetization**: 0.00 μB/atom
**Raw formation energy**: -164 meV per atom
**DFT total energy**: -4.52 eV/atom

a = 3.5280 Å, b = 3.5280 Å, c = 7.7502 Å
α = 90.00°, β = 90.00°, γ = 90.00°
Fractional positions:
Sb 0.0000 0.0000 0.6797
Sb 0.0000 0.0000 0.3203
Ba 0.5000 0.5000 0.0000
Ni 0.5000 0.5000 0.5000


(9)
KOsCl2: optimized geometry, PBEsol.

Output
**Magnetization**: 0.00 μB/atom
**Raw formation energy**: 130 meV per atom
**Energy above the most stable polymorph in this dataset**: 93 meV per atom
**DFT total energy**: -4.21 eV/atom

a = 3.6988 Å, b = 3.5553 Å, c = 7.2877 Å
α = 90.00°, β = 90.00°, γ = 121.35°
Fractional positions:
K 0.5000 0.0000 0.5000
Cl 0.0000 0.0000 0.2027
Cl 0.0000 0.0000 0.7973
Os 0.5000 0.0000 0.0000


(10)
Li3MnCo2O6: optimized geometry, PBEsol.

Output
**Magnetization**: 0.16 μB/atom
**Raw formation energy**: -1611 meV per atom
**Energy above the most stable polymorph in this dataset**: 0 meV per atom
**DFT total energy**: -6.83 eV/atom

a = 2.8227 Å, b = 5.6812 Å, c = 6.3202 Å
α = 103.34°, β = 102.90°, γ = 90.00°
Fractional positions:
Li 0.6697 0.3299 0.3393
Li 0.0000 0.0000 0.0000
Li 0.3303 0.6701 0.6607
O 0.8250 0.9347 0.6500
O 0.1595 0.5994 0.3191
O 0.5052 0.7371 0.0104
O 0.8405 0.4006 0.6809
O 0.4948 0.2629 0.9896
O 0.1750 0.0653 0.3500
Mn 0.0000 0.5000 0.0000
Co 0.6667 0.8344 0.3335
Co 0.3333 0.1656 0.6665


(11)
Rb3AlMo: optimized geometry, PBEsol.

Output
**Magnetization**: 1.06 μB/atom
**DFT total energy**: -2.16 eV/atom
**Formation energy from the elements**: 1631.5 meV per atom

a = 6.8129 Å, b = 6.8129 Å, c = 6.8129 Å
α = 90.00°, β = 90.00°, γ = 90.00°
Fractional positions:
Al 0.5000 0.5000 0.5000
Rb 0.0000 0.5000 0.0000
Rb 0.0000 0.0000 0.5000
Rb 0.5000 0.0000 0.0000
Mo 0.0000 0.0000 0.0000


(12)
TcPRh2: optimized geometry, PBEsol.

Output
**Magnetization**: 0.00 μB/atom
**DFT total energy**: -8.68 eV/atom
**Formation energy from the elements**: -345.8 meV per atom

a = 2.7989 Å, b = 3.6892 Å, c = 5.3074 Å
α = 90.00°, β = 105.31°, γ = 90.00°
Fractional positions:
P 0.3356 0.5000 0.7963
Tc 0.1849 0.0000 0.4948
Rh 0.9149 0.0000 0.9547
Rh 0.5646 0.5000 0.2541


(13)
Ba2ScCd: optimized geometry, PBEsol.

Output
**Magnetization**: 0.00 μB/atom
**DFT total energy**: -2.99 eV/atom
**Formation energy from the elements**: 35.7 meV per atom

a = 3.8691 Å, b = 5.9909 Å, c = 7.1502 Å
α = 114.77°, β = 105.70°, γ = 90.00°
Fractional positions:
Sc 0.2046 0.7046 0.4093
Ba 0.9859 0.9859 0.9717
Ba 0.7819 0.2819 0.5638
Cd 0.5276 0.5276 0.0552


(14)
Co2BSb: optimized geometry, PBEsol.

Output
**Magnetization**: 0.16 μB/atom
**Raw formation energy**: 363 meV per atom
**DFT total energy**: -6.40 eV/atom

a = 4.3585 Å, b = 4.3585 Å, c = 6.6963 Å
α = 108.99°, β = 108.99°, γ = 90.00°
Fractional positions:
Sb 0.2500 0.7500 0.5000
Sb 0.0000 0.0000 0.0000
Co 0.1250 0.2681 0.7500
Co 0.5181 0.8750 0.2500
Co 0.6250 0.4819 0.7500
Co 0.7319 0.3750 0.2500
B 0.7500 0.2500 0.5000
B 0.5000 0.5000 0.0000


(15)
LiAl2Ir: optimized geometry, PBEsol.

Output
**Magnetization**: 0.00 μB/atom
**Energy above the most stable polymorph in this dataset**: 313 meV per atom
**DFT total energy**: -5.40 eV/atom
**Formation energy from the elements**: -406.7 meV per atom

a = 3.1644 Å, b = 3.1644 Å, c = 5.4840 Å
α = 90.00°, β = 90.00°, γ = 90.00°
Fractional positions:
Li 0.5000 0.5000 0.7426
Al 0.5000 0.5000 0.2794
Al 0.0000 0.0000 0.9820
Ir 0.0000 0.0000 0.4961


(16)
Ba2NaSn2: optimized geometry, PBEsol.

Output
**Magnetization**: 0.00 μB/atom
**Energy above the most stable polymorph in this dataset**: 301 meV per atom
**DFT total energy**: -3.04 eV/atom
**Formation energy from the elements**: -201.4 meV per atom

a = 4.3852 Å, b = 4.3852 Å, c = 11.3507 Å
α = 101.14°, β = 101.14°, γ = 90.00°
Fractional positions:
Sn 0.2500 0.7500 0.5000
Sn 0.7500 0.2500 0.5000
Na 0.0000 0.0000 0.0000
Ba 0.6240 0.6240 0.2481
Ba 0.3760 0.3760 0.7519


(17)
ThNiGe2: optimized geometry, PBEsol.

Output
**Magnetization**: 0.00 μB/atom
**DFT total energy**: -6.83 eV/atom
**Formation energy from the elements**: -792.8 meV per atom

a = 4.1808 Å, b = 4.2207 Å, c = 8.5010 Å
α = 90.00°, β = 104.23°, γ = 90.00°
Fractional positions:
Ni 0.8194 0.7500 0.6388
Ni 0.1806 0.2500 0.3612
Ge 0.2505 0.7500 0.5011
Ge 0.0409 0.2500 0.0817
Ge 0.7495 0.2500 0.4989
Ge 0.9591 0.7500 0.9183
Th 0.6075 0.7500 0.2150
Th 0.3925 0.2500 0.7850


(18)
ZnSi2Se: optimized geometry, PBEsol.

Output
**Magnetization**: 0.00 μB/atom
**Raw formation energy**: 303 meV per atom
**Energy above the most stable polymorph in this dataset**: 85 meV per atom
**DFT total energy**: -3.93 eV/atom

a = 3.5682 Å, b = 3.5682 Å, c = 5.4210 Å
α = 90.00°, β = 90.00°, γ = 90.00°
Fractional positions:
Si 0.0000 0.5000 0.0000
Si 0.5000 0.0000 0.0000
Zn 0.5000 0.5000 0.5000
Se 0.0000 0.0000 0.5000


(19)
Tl2Te: optimized geometry, PBEsol.

Output
**Magnetization**: 0.00 μB/atom
**Raw formation energy**: -223 meV per atom
**Energy above the most stable polymorph in this dataset**: 23 meV per atom
**DFT total energy**: -3.15 eV/atom

a = 5.1234 Å, b = 7.0045 Å, c = 10.6516 Å
α = 90.00°, β = 90.00°, γ = 90.00°
Fractional positions:
Tl 0.7500 0.8142 0.4057
Tl 0.2500 0.0179 0.1967
Tl 0.7500 0.3142 0.0943
Tl 0.2500 0.5179 0.3033
Tl 0.7500 0.4821 0.6967
Tl 0.7500 0.9821 0.8033
Tl 0.2500 0.1858 0.5943
Tl 0.2500 0.6858 0.9057
Te 0.2500 0.2240 0.9154
Te 0.7500 0.7760 0.0846
Te 0.7500 0.2760 0.4154
Te 0.2500 0.7240 0.5846


(20)
Si2H15C5N: optimized geometry, PBEsol.

Output
**Magnetization**: 0.00 μB/atom
**DFT total energy**: -5.39 eV/atom

a = 6.6439 Å, b = 11.0649 Å, c = 13.2613 Å
α = 90.00°, β = 90.00°, γ = 104.01°
Fractional positions:
C 0.3325 0.5636 0.8662
C 0.6133 0.0311 0.2977
C 0.3867 0.9689 0.7023
C 0.8325 0.0636 0.6338
C 0.5978 0.6889 0.3726
C 0.8036 0.7932 0.0990
C 0.2457 0.6392 0.5269
C 0.6964 0.7068 0.5990
C 0.0978 0.1889 0.1274
C 0.1964 0.2068 0.9010
C 0.1675 0.9364 0.3662
C 0.1132 0.5311 0.2023
C 0.2543 0.8608 0.0269
C 0.8867 0.4689 0.7977
C 0.7543 0.3608 0.4731
C 0.4022 0.3111 0.6274
C 0.9022 0.8111 0.8726
C 0.3036 0.2932 0.4010
C 0.7457 0.1392 0.9731
C 0.6675 0.4364 0.1338
H 0.5581 0.4171 0.0700
H 0.1483 0.8502 0.3213
H 0.3572 0.2584 0.9171
H 0.0694 0.6043 0.2478
H 0.1925 0.6630 0.6015
H 0.1015 0.4496 0.2519
H 0.9930 0.2047 0.1880
H 0.9306 0.3957 0.7522
H 0.8663 0.3438 0.5296
H 0.9419 0.0829 0.5699
H 0.8767 0.9936 0.6828
H 0.8459 0.7638 0.1740
H 0.3517 0.6498 0.8213
H 0.4931 0.7047 0.3120
H 0.1233 0.0064 0.3172
H 0.8572 0.7585 0.5829
H 0.1337 0.6562 0.4704
H 0.6234 0.5064 0.1829
H 0.6925 0.1629 0.8985
H 0.2232 0.9354 0.6795
H 0.4419 0.5829 0.9300
H 0.7625 0.4616 0.4735
H 0.1949 0.1071 0.8958
H 0.0581 0.9171 0.4301
H 0.2768 0.5646 0.1795
H 0.8985 0.5504 0.7481
H 0.4019 0.4108 0.6292
H 0.7768 0.0646 0.3205
H 0.2556 0.2437 0.1455
H 0.9019 0.9108 0.8708
H 0.3459 0.2638 0.3260
H 0.8075 0.3370 0.3985
H 0.5694 0.1043 0.2522
H 0.5069 0.2953 0.6879
H 0.3766 0.4936 0.8171
H 0.3075 0.8371 0.1015
H 0.7444 0.7563 0.8545
H 0.1428 0.2415 0.4171
H 0.7232 0.4354 0.8205
H 0.3663 0.8438 0.9704
H 0.2625 0.9616 0.0265
H 0.3985 0.0504 0.7519
H 0.6428 0.7416 0.0829
H 0.6015 0.9496 0.2481
H 0.6483 0.3502 0.1787
H 0.6949 0.6071 0.6042
H 0.4306 0.8957 0.7478
H 0.3051 0.3929 0.3958
H 0.6541 0.7362 0.6740
H 0.2375 0.5384 0.5265
H 0.8051 0.8929 0.1042
H 0.8517 0.1498 0.6787
H 0.0981 0.0892 0.1292
H 0.6337 0.1562 0.0296
H 0.5981 0.5892 0.3708
H 0.7557 0.7437 0.3545
H 0.1541 0.2362 0.8260
H 0.7375 0.0384 0.9735
H 0.2443 0.2563 0.6455
H 0.0070 0.7953 0.8120
N 0.9817 0.6081 0.9973
N 0.4817 0.1081 0.5027
N 0.5183 0.8919 0.4973
N 0.0183 0.3919 0.0027
Si 0.0585 0.5086 0.9104
Si 0.5139 0.7351 0.4989
Si 0.9861 0.7649 0.9989
Si 0.0139 0.2351 0.0011
Si 0.5585 0.0086 0.5896
Si 0.9415 0.4914 0.0896
Si 0.4861 0.2649 0.5011
Si 0.4415 0.9914 0.4104


(21)
MgScCd: optimized geometry, PBEsol.

Output
**Magnetization**: 0.00 μB/atom
**DFT total energy**: -3.27 eV/atom
**Formation energy from the elements**: -98.7 meV per atom

a = 3.0793 Å, b = 4.6280 Å, c = 5.2887 Å
α = 115.95°, β = 106.93°, γ = 90.00°
Fractional positions:
Mg 0.6669 0.6669 0.3338
Cd 0.9983 0.9983 0.9966
Sc 0.3348 0.3348 0.6696